Entry 1:
# BaHI2N, relaxed, DFT PBE
data_BaHI2N
_chemical_formula_sum 'Ba1 H1 I2 N1'
_cell_length_a 5.939
_cell_length_b 5.939
_cell_length_c 3.871
_cell_angle_alpha 90.00
_cell_angle_beta 90.00
_cell_angle_gamma 90.00
_symmetry_space_group_name_H-M 'P 4/m m m'
_symmetry_Int_Tables_number 123
_symmetry_space_group_name_Hall '-P 4 2'
loop_
_atom_site_label
_atom_site_fract_x
_atom_site_fract_y
_atom_site_fract_z
Ba1 0.000 0.000 0.000
H1 0.500 0.500 0.500
I1 0.000 0.500 0.500
N1 0.500 0.500 0.000
# energy	-3.035	eV per atom
# M_tot	2.0	μB per formula unit

Entry 2:
# Ce2Ta2N7, relaxed, DFT PBE
data_Ce2Ta2N7
_chemical_formula_sum 'Ce4 Ta4 N14'
_cell_length_a 7.139
_cell_length_b 7.800
_cell_length_c 5.138
_cell_angle_alpha 90.00
_cell_angle_beta 90.00
_cell_angle_gamma 90.00
_symmetry_space_group_name_H-M 'C m m m'
_symmetry_Int_Tables_number 65
_symmetry_space_group_name_Hall '-C 2 2'
loop_
_atom_site_label
_atom_site_fract_x
_atom_site_fract_y
_atom_site_fract_z
Ce1 0.250 0.000 0.000
Ta1 0.000 0.211 0.500
N1 0.000 0.000 0.261
N2 0.000 0.500 0.500
N3 0.250 0.250 0.264
# formation energy from raw total energies	-664	meV/atom
# M_tot	1.8	μB per formula unit

Entry 3:
# In2Rh, relaxed, DFT PBE
data_In2Rh
_chemical_formula_sum 'In4 Rh2'
_cell_length_a 6.829
_cell_length_b 6.867
_cell_length_c 3.123
_cell_angle_alpha 90.00
_cell_angle_beta 90.00
_cell_angle_gamma 90.00
_symmetry_space_group_name_H-M 'P n n m'
_symmetry_Int_Tables_number 58
loop_
_symmetry_equiv_pos_as_xyz
'x,y,z'
'-x,-y,-z'
'-x,-y,z'
'x,y,-z'
'x+1/2,-y+1/2,-z+1/2'
'-x+1/2,y+1/2,z+1/2'
'-x+1/2,y+1/2,-z+1/2'
'x+1/2,-y+1/2,z+1/2'
loop_
_atom_site_label
_atom_site_fract_x
_atom_site_fract_y
_atom_site_fract_z
In1 0.227 0.226 0.000
Rh1 0.000 0.000 0.500
# energy	-4.458	eV per atom
# M_tot	0.0	μB per formula unit

> M_tot of number 1 (BaHI2N)?

2.0 μB per formula unit

> The lowest M_tot belongs to which entry?

In2Rh

> Number 2 is which compound?

Ce2Ta2N7